1.
An optimized crystal structure of AgGe2Br5, computed with GGA-PBE.

Computed properties:
The value obtained for the density of states at the Fermi level is 0.00 states/eV/cell. As for the formation energy without anion corrections: -0.46 eV/atom. For the spin magnetization, the calculation gives 0.00 μB/f.u. The value obtained for the volume is 32.7 Å³ per atom.

```
data_AgGe2Br5
_chemical_formula_sum 'Ag4 Ge8 Br20'
_space_group_name_H-M_alt 'P 1 21/c 1'
_space_group_IT_number 14
_space_group_name_Hall '-P 2ybc'
_cell_length_a 10.4359
_cell_length_b 7.2541
_cell_length_c 14.5569
_cell_angle_alpha 90.00
_cell_angle_beta 108.08
_cell_angle_gamma 90.00
loop_
_atom_site_label
_atom_site_fract_x
_atom_site_fract_y
_atom_site_fract_z
Ag1 0.0000 0.0000 0.0000
Ag2 0.5000 0.0000 0.0000
Ge1 0.1254 0.0637 0.3962
Ge2 0.3213 0.5955 0.2012
Br1 0.0812 0.7342 0.7064
Br2 0.1218 0.1978 0.5624
Br3 0.2921 0.2055 0.8699
Br4 0.3060 0.7268 0.5452
Br5 0.4705 0.6973 0.8276
```


2.
An optimized crystal structure of Ag3Ge5Br12, computed with GGA-PBE.

Computed properties:
The value obtained for the density of states at the Fermi level is 54.38 states/eV/cell. As for the formation energy without anion corrections: -0.26 eV/atom. For the spin magnetization, the calculation gives 0.00 μB/f.u. The value obtained for the volume is 32.0 Å³ per atom.

```
data_Ag3Ge5Br12
_chemical_formula_sum 'Ag24 Ge40 Br96'
_space_group_name_H-M_alt 'I a -3 d'
_space_group_IT_number 230
_space_group_name_Hall '-I 4bd 2c 3'
_cell_length_a 17.2283
_cell_length_b 17.2283
_cell_length_c 17.2283
_cell_angle_alpha 90.00
_cell_angle_beta 90.00
_cell_angle_gamma 90.00
loop_
_atom_site_label
_atom_site_fract_x
_atom_site_fract_y
_atom_site_fract_z
Ag1 0.0000 0.2500 0.1250
Ge1 0.0000 0.0000 0.0000
Ge2 0.0000 0.2500 0.3750
Br1 0.0272 0.0692 0.6478
```